Record 1
{
  "formula": "LiSb2TeW",
  "functional": "PBEsol",
  "state": "optimized geometry",
  "lattice": [[4.749, 0.000, 0.000], [0.000, 4.749, 0.000], [0.000, 0.000, 4.976]],
  "species": ["Li", "Sb", "Sb", "Te", "W"],
  "frac_coords": [[0.000, 0.000, 0.000], [0.000, 0.500, 0.000], [0.500, 0.000, 0.000], [0.000, 0.000, 0.500], [0.500, 0.500, 0.500]],
  "dft_energy_ha_per_atom": -0.166
}

***

Record 2
{
  "formula": "K2LiCuF6",
  "functional": "PBEsol",
  "state": "optimized geometry",
  "lattice": [[0.000, 3.953, 3.953], [3.953, 0.000, 3.953], [3.953, 3.953, 0.000]],
  "species": ["K", "K", "Li", "Cu", "F", "F", "F", "F", "F", "F"],
  "frac_coords": [[0.250, 0.250, 0.250], [0.750, 0.750, 0.750], [0.000, 0.000, 0.000], [0.500, 0.500, 0.500], [0.259, 0.259, 0.741], [0.259, 0.741, 0.259], [0.259, 0.741, 0.741], [0.741, 0.259, 0.259], [0.741, 0.259, 0.741], [0.741, 0.741, 0.259]],
  "dft_energy_ha_per_atom": -0.161
}

***

Record 3
{
  "formula": "Li5Mn2NiO8",
  "functional": "PBEsol",
  "state": "optimized geometry",
  "lattice": [[4.941, -2.808, 0.000], [4.941, 2.808, 0.000], [-3.214, 0.000, 4.682]],
  "species": ["Li", "Li", "Li", "Li", "Li", "Mn", "Mn", "Ni", "O", "O", "O", "O", "O", "O", "O", "O"],
  "frac_coords": [[0.000, 0.000, 0.000], [0.000, 0.000, 0.500], [0.000, 0.500, 0.000], [0.500, 0.000, 0.000], [0.500, 0.500, 0.000], [0.000, 0.500, 0.500], [0.500, 0.000, 0.500], [0.500, 0.500, 0.500], [0.242, 0.242, 0.263], [0.245, 0.719, 0.718], [0.250, 0.250, 0.727], [0.281, 0.755, 0.282], [0.719, 0.245, 0.718], [0.750, 0.750, 0.273], [0.755, 0.281, 0.282], [0.758, 0.758, 0.737]],
  "dft_energy_ha_per_atom": -0.244
}

***

Record 4
{
  "formula": "Cr2AgP",
  "functional": "PBEsol",
  "state": "optimized geometry",
  "lattice": [[-1.486, 2.093, 4.249], [1.486, -2.093, 4.249], [1.486, 2.093, -4.249]],
  "species": ["Cr", "Cr", "Ag", "P"],
  "frac_coords": [[0.000, 0.000, 0.000], [0.724, 0.224, 0.500], [0.447, 0.447, 0.000], [0.206, 0.706, 0.500]],
  "dft_energy_ha_per_atom": -0.261,
  "formation_enthalpy_0k_mev_per_atom": 288
}

***

Record 5
{
  "formula": "MnP3I",
  "functional": "PBEsol",
  "state": "optimized geometry",
  "lattice": [[5.000, 0.000, 0.000], [0.000, 5.000, 0.000], [0.000, 0.000, 5.000]],
  "species": ["Mn", "P", "P", "P", "I"],
  "frac_coords": [[0.000, 0.000, 0.000], [0.000, 0.500, 0.500], [0.500, 0.000, 0.500], [0.500, 0.500, 0.000], [0.500, 0.500, 0.500]],
  "dft_energy_ha_per_atom": -0.148
}

***

Record 6
{
  "formula": "VC2O6",
  "functional": "PBEsol",
  "state": "optimized geometry",
  "lattice": [[7.169, 0.000, 0.000], [0.000, 7.249, 0.000], [0.000, 0.000, 9.137]],
  "species": ["V", "V", "V", "V", "C", "C", "C", "C", "C", "C", "C", "C", "O", "O", "O", "O", "O", "O", "O", "O", "O", "O", "O", "O", "O", "O", "O", "O", "O", "O", "O", "O", "O", "O", "O", "O"],
  "frac_coords": [[0.179, 0.250, 0.000], [0.321, 0.750, 0.500], [0.679, 0.250, 0.000], [0.821, 0.750, 0.500], [0.227, 0.581, 0.780], [0.228, 0.918, 0.780], [0.272, 0.418, 0.280], [0.273, 0.081, 0.280], [0.727, 0.919, 0.780], [0.728, 0.582, 0.780], [0.772, 0.082, 0.280], [0.773, 0.419, 0.280], [0.070, 0.751, 0.501], [0.174, 0.750, 0.838], [0.176, 0.449, 0.857], [0.177, 0.051, 0.857], [0.182, 0.429, 0.162], [0.183, 0.070, 0.162], [0.317, 0.570, 0.662], [0.318, 0.929, 0.662], [0.323, 0.551, 0.357], [0.324, 0.949, 0.357], [0.326, 0.250, 0.338], [0.430, 0.251, 0.001], [0.570, 0.749, 0.501], [0.674, 0.750, 0.838], [0.676, 0.051, 0.857], [0.677, 0.449, 0.857], [0.682, 0.071, 0.162], [0.683, 0.430, 0.162], [0.817, 0.930, 0.662], [0.818, 0.571, 0.662], [0.823, 0.949, 0.357], [0.824, 0.551, 0.357], [0.826, 0.250, 0.338], [0.930, 0.249, 0.001]],
  "dft_energy_ha_per_atom": -0.304
}

***

Record 7
{
  "formula": "Sr2Cu",
  "functional": "PBEsol",
  "state": "optimized geometry",
  "lattice": [[2.023, -6.917, 0.000], [2.023, 6.917, 0.000], [0.000, 0.000, 7.438]],
  "species": ["Sr", "Sr", "Sr", "Sr", "Cu", "Cu"],
  "frac_coords": [[0.012, 0.988, 0.500], [0.276, 0.724, 0.318], [0.724, 0.276, 0.818], [0.988, 0.012, 0.000], [0.387, 0.613, 0.721], [0.613, 0.387, 0.221]],
  "dft_energy_ha_per_atom": -0.096,
  "formation_enthalpy_0k_mev_per_atom": 54
}

***

Record 8
{
  "formula": "LiLa2Co",
  "functional": "PBEsol",
  "state": "optimized geometry",
  "lattice": [[3.349, -1.927, 0.000], [3.349, 1.927, 0.000], [-2.175, 0.000, 8.769]],
  "species": ["Li", "La", "La", "Co"],
  "frac_coords": [[0.000, 0.000, 0.000], [0.225, 0.225, 0.675], [0.775, 0.775, 0.325], [0.500, 0.500, 0.500]],
  "dft_energy_ha_per_atom": -0.187,
  "formation_enthalpy_0k_mev_per_atom": 8
}

***

Record 9
{
  "formula": "CrCu2Rh",
  "functional": "PBEsol",
  "state": "optimized geometry",
  "lattice": [[2.471, -4.352, 0.000], [2.471, 4.352, 0.000], [-1.156, 0.000, 2.292]],
  "species": ["Cr", "Cu", "Cu", "Rh"],
  "frac_coords": [[0.000, 0.000, 0.000], [0.000, 0.500, 0.500], [0.500, 0.000, 0.500], [0.500, 0.500, 0.000]],
  "dft_energy_ha_per_atom": -0.238,
  "formation_enthalpy_0k_mev_per_atom": 276
}

***

Record 10
{
  "formula": "Ta2CdOs",
  "functional": "PBEsol",
  "state": "optimized geometry",
  "lattice": [[3.134, 0.000, 0.000], [0.000, 3.134, 0.000], [0.000, 0.000, 7.077]],
  "species": ["Ta", "Ta", "Cd", "Os"],
  "frac_coords": [[0.000, 0.000, 0.000], [0.500, 0.500, 0.268], [0.000, 0.000, 0.543], [0.500, 0.500, 0.805]],
  "dft_energy_ha_per_atom": -0.349,
  "formation_enthalpy_0k_mev_per_atom": 121
}

***

Record 11
{
  "formula": "Al3Ru2",
  "functional": "PBEsol",
  "state": "optimized geometry",
  "lattice": [[-1.537, 1.537, 7.117], [1.537, -1.537, 7.117], [1.537, 1.537, -7.117]],
  "species": ["Al", "Al", "Al", "Ru", "Ru"],
  "frac_coords": [[0.000, 0.000, 0.000], [0.194, 0.194, 0.000], [0.806, 0.806, 0.000], [0.394, 0.394, 0.000], [0.606, 0.606, 0.000]],
  "dft_energy_ha_per_atom": -0.264,
  "formation_enthalpy_0k_mev_per_atom": -673
}

***

Record 12
{
  "formula": "LiBeH5N2F4",
  "functional": "PBEsol",
  "state": "optimized geometry",
  "lattice": [[9.956, 0.000, 0.000], [0.000, 8.711, 0.000], [0.000, 0.000, 5.019]],
  "species": ["Li", "Li", "Li", "Li", "Be", "Be", "Be", "Be", "H", "H", "H", "H", "H", "H", "H", "H", "H", "H", "H", "H", "H", "H", "H", "H", "H", "H", "H", "H", "N", "N", "N", "N", "N", "N", "N", "N", "F", "F", "F", "F", "F", "F", "F", "F", "F", "F", "F", "F", "F", "F", "F", "F"],
  "frac_coords": [[0.154, 0.126, 0.000], [0.346, 0.626, 0.500], [0.654, 0.374, 0.000], [0.846, 0.874, 0.500], [0.183, 0.931, 0.494], [0.317, 0.431, 0.994], [0.683, 0.569, 0.494], [0.817, 0.069, 0.994], [0.010, 0.473, 0.695], [0.042, 0.791, 0.157], [0.057, 0.768, 0.821], [0.120, 0.382, 0.495], [0.163, 0.677, 0.035], [0.337, 0.177, 0.535], [0.380, 0.882, 0.995], [0.443, 0.268, 0.321], [0.458, 0.291, 0.657], [0.490, 0.973, 0.195], [0.510, 0.027, 0.695], [0.542, 0.709, 0.157], [0.557, 0.732, 0.821], [0.620, 0.118, 0.495], [0.663, 0.823, 0.035], [0.837, 0.323, 0.535], [0.880, 0.618, 0.995], [0.943, 0.232, 0.321], [0.958, 0.209, 0.657], [0.990, 0.527, 0.195], [0.022, 0.420, 0.508], [0.063, 0.713, 0.007], [0.437, 0.213, 0.507], [0.478, 0.920, 0.008], [0.522, 0.080, 0.508], [0.563, 0.787, 0.007], [0.937, 0.287, 0.507], [0.978, 0.580, 0.008], [0.035, 0.864, 0.526], [0.193, 0.089, 0.642], [0.208, 0.959, 0.194], [0.223, 0.310, 0.113], [0.277, 0.810, 0.613], [0.292, 0.459, 0.694], [0.307, 0.589, 0.142], [0.465, 0.364, 0.026], [0.535, 0.636, 0.526], [0.693, 0.411, 0.642], [0.708, 0.541, 0.194], [0.723, 0.190, 0.113], [0.777, 0.690, 0.613], [0.792, 0.041, 0.694], [0.807, 0.911, 0.142], [0.965, 0.136, 0.026]],
  "dft_energy_ha_per_atom": -0.193
}

***

Record 13
{
  "formula": "BaZnRu2",
  "functional": "PBEsol",
  "state": "optimized geometry",
  "lattice": [[2.151, 1.242, 5.676], [-2.151, 1.242, 5.676], [0.000, -2.484, 5.676]],
  "species": ["Ba", "Zn", "Ru", "Ru"],
  "frac_coords": [[0.000, 0.000, 0.000], [0.813, 0.813, 0.813], [0.187, 0.187, 0.187], [0.513, 0.513, 0.513]],
  "dft_energy_ha_per_atom": -0.216,
  "formation_enthalpy_0k_mev_per_atom": 154
}

***

Record 14
{
  "formula": "Rb2TaCoF",
  "functional": "PBEsol",
  "state": "optimized geometry",
  "lattice": [[6.380, 0.000, 0.000], [0.000, 6.380, 0.000], [0.000, 0.000, 4.327]],
  "species": ["Rb", "Rb", "Ta", "Co", "F"],
  "frac_coords": [[0.000, 0.500, 0.000], [0.500, 0.000, 0.000], [0.000, 0.000, 0.500], [0.000, 0.000, 0.000], [0.500, 0.500, 0.500]],
  "dft_energy_ha_per_atom": -0.156
}

***

Record 15
{
  "formula": "HgPOs2",
  "functional": "PBEsol",
  "state": "optimized geometry",
  "lattice": [[1.391, -2.356, 0.000], [1.391, 2.356, 0.000], [0.000, 0.000, 10.344]],
  "species": ["Hg", "P", "Os", "Os"],
  "frac_coords": [[0.000, 0.000, 0.000], [0.500, 0.500, 0.333], [0.000, 0.000, 0.520], [0.500, 0.500, 0.739]],
  "dft_energy_ha_per_atom": -0.260,
  "formation_enthalpy_0k_mev_per_atom": 619
}

***

Record 16
{
  "formula": "Cd2Pb3",
  "functional": "PBEsol",
  "state": "optimized geometry",
  "lattice": [[5.035, 0.000, 0.000], [-2.518, 4.361, 0.000], [0.000, 0.000, 6.514]],
  "species": ["Cd", "Cd", "Pb", "Pb", "Pb"],
  "frac_coords": [[0.333, 0.667, 0.321], [0.667, 0.333, 0.679], [0.000, 0.000, 0.500], [0.333, 0.667, 0.843], [0.667, 0.333, 0.157]],
  "dft_energy_ha_per_atom": -0.102,
  "formation_enthalpy_0k_mev_per_atom": 98
}

***

Record 17
{
  "formula": "ScTl2Cu",
  "functional": "PBEsol",
  "state": "optimized geometry",
  "lattice": [[2.341, -2.345, 0.000], [2.341, 2.345, 0.000], [0.000, 0.000, 7.249]],
  "species": ["Sc", "Tl", "Tl", "Cu"],
  "frac_coords": [[0.000, 0.000, 0.000], [0.500, 0.500, 0.276], [0.500, 0.500, 0.724], [0.000, 0.000, 0.500]],
  "dft_energy_ha_per_atom": -0.149,
  "formation_enthalpy_0k_mev_per_atom": -15
}

***

Record 18
{
  "formula": "TcNi2Te",
  "functional": "PBEsol",
  "state": "optimized geometry",
  "lattice": [[2.841, 0.000, 0.000], [0.000, 2.841, 0.000], [0.000, 0.000, 7.243]],
  "species": ["Tc", "Ni", "Ni", "Te"],
  "frac_coords": [[0.000, 0.000, 0.000], [0.500, 0.500, 0.222], [0.500, 0.500, 0.778], [0.000, 0.000, 0.500]],
  "dft_energy_ha_per_atom": -0.235
}

***

Record 19
{
  "formula": "Be2Al2H",
  "functional": "PBEsol",
  "state": "optimized geometry",
  "lattice": [[-2.369, 2.369, 2.757], [2.369, -2.369, 2.757], [2.369, 2.369, -2.757]],
  "species": ["Be", "Be", "Al", "Al", "H"],
  "frac_coords": [[0.200, 0.200, 0.000], [0.800, 0.800, 0.000], [0.250, 0.750, 0.500], [0.750, 0.250, 0.500], [0.500, 0.500, 0.000]],
  "dft_energy_ha_per_atom": -0.121
}

***

Record 20
{
  "formula": "Nb3SnS6",
  "functional": "PBEsol",
  "state": "optimized geometry",
  "lattice": [[5.760, 0.000, 0.000], [-2.880, 4.989, 0.000], [0.000, 0.000, 14.363]],
  "species": ["Nb", "Nb", "Nb", "Nb", "Nb", "Nb", "Sn", "Sn", "S", "S", "S", "S", "S", "S", "S", "S", "S", "S", "S", "S"],
  "frac_coords": [[0.000, 0.000, 0.250], [0.000, 0.000, 0.750], [0.333, 0.667, 0.250], [0.333, 0.667, 0.750], [0.667, 0.333, 0.250], [0.667, 0.333, 0.750], [0.000, 0.000, 0.000], [0.000, 0.000, 0.500], [0.000, 0.336, 0.141], [0.000, 0.336, 0.359], [0.000, 0.664, 0.641], [0.000, 0.664, 0.859], [0.336, 0.000, 0.141], [0.336, 0.000, 0.359], [0.336, 0.336, 0.641], [0.336, 0.336, 0.859], [0.664, 0.000, 0.641], [0.664, 0.000, 0.859], [0.664, 0.664, 0.141], [0.664, 0.664, 0.359]],
  "dft_energy_ha_per_atom": -0.272
}

***

Record 21
{
  "formula": "Cr2NiIr",
  "functional": "PBEsol",
  "state": "optimized geometry",
  "lattice": [[3.563, 0.000, 0.000], [0.000, 3.563, 0.000], [0.000, 0.000, 3.683]],
  "species": ["Cr", "Cr", "Ni", "Ir"],
  "frac_coords": [[0.000, 0.500, 0.000], [0.500, 0.000, 0.000], [0.000, 0.000, 0.500], [0.500, 0.500, 0.500]],
  "dft_energy_ha_per_atom": -0.339,
  "formation_enthalpy_0k_mev_per_atom": -97
}

***

Record 22
{
  "formula": "Li3InPd",
  "functional": "PBEsol",
  "state": "optimized geometry",
  "lattice": [[4.631, 0.000, 0.000], [0.000, 4.631, 0.000], [0.000, 0.000, 4.631]],
  "species": ["Li", "Li", "Li", "In", "Pd"],
  "frac_coords": [[0.000, 0.000, 0.500], [0.000, 0.500, 0.000], [0.500, 0.000, 0.000], [0.500, 0.500, 0.500], [0.000, 0.000, 0.000]],
  "dft_energy_ha_per_atom": -0.109,
  "formation_enthalpy_0k_mev_per_atom": 13
}

***

Record 23
{
  "formula": "MgCo2Pt",
  "functional": "PBEsol",
  "state": "optimized geometry",
  "lattice": [[4.369, -1.358, 0.000], [4.369, 1.358, 0.000], [-1.056, 0.000, 4.393]],
  "species": ["Mg", "Co", "Co", "Pt"],
  "frac_coords": [[0.000, 0.000, 0.000], [0.489, 0.489, 0.480], [0.762, 0.762, 0.281], [0.238, 0.238, 0.749]],
  "dft_energy_ha_per_atom": -0.224,
  "formation_enthalpy_0k_mev_per_atom": -49
}